Entry 1:
{
  "formula": "Sr5Ag4",
  "functional": "GGA-PBE",
  "state": "optimized geometry",
  "lattice": [[9.761, 0.000, 0.000], [-4.880, 8.453, 0.000], [0.000, 0.000, 7.455]],
  "species": ["Ag", "Ag", "Ag", "Ag", "Ag", "Ag", "Ag", "Ag", "Sr", "Sr", "Sr", "Sr", "Sr", "Sr", "Sr", "Sr", "Sr", "Sr"],
  "fractional_positions": [[0.000, 0.000, 0.000], [0.000, 0.000, 0.500], [0.000, 0.394, 0.250], [0.606, 0.606, 0.250], [0.394, 0.000, 0.250], [0.000, 0.606, 0.750], [0.394, 0.394, 0.750], [0.606, 0.000, 0.750], [0.000, 0.735, 0.250], [0.265, 0.265, 0.250], [0.735, 0.000, 0.250], [0.000, 0.265, 0.750], [0.735, 0.735, 0.750], [0.265, 0.000, 0.750], [0.667, 0.333, 0.000], [0.333, 0.667, 0.500], [0.333, 0.667, 0.000], [0.667, 0.333, 0.500]],
  "dft_energy_ev_per_atom": -2.413,
  "total_magnetization_mub_per_fu": 0.0,
  "formation_energy_mev_per_atom": -212
}

***

Entry 2:
{
  "formula": "SrAg",
  "functional": "GGA-PBE",
  "state": "optimized geometry",
  "lattice": [[9.514, 0.000, 0.000], [-4.757, 8.239, 0.000], [0.000, 0.000, 5.163]],
  "species": ["Sr", "Sr", "Sr", "Sr", "Sr", "Sr", "Ag", "Ag", "Ag", "Ag", "Ag", "Ag"],
  "fractional_positions": [[0.811, 0.623, 0.250], [0.189, 0.811, 0.750], [0.377, 0.189, 0.250], [0.189, 0.377, 0.750], [0.811, 0.189, 0.250], [0.623, 0.811, 0.750], [0.438, 0.876, 0.250], [0.562, 0.438, 0.750], [0.124, 0.562, 0.250], [0.562, 0.124, 0.750], [0.438, 0.562, 0.250], [0.876, 0.438, 0.750]],
  "dft_energy_ev_per_atom": -2.464,
  "total_magnetization_mub_per_fu": 0.0,
  "formation_energy_mev_per_atom": -197
}

***

Entry 3:
{
  "formula": "Sr2Ag",
  "functional": "GGA-PBE",
  "state": "optimized geometry",
  "lattice": [[4.542, 0.000, 0.000], [0.000, 8.989, 0.000], [0.000, 0.000, 11.333]],
  "species": ["Sr", "Sr", "Sr", "Sr", "Sr", "Sr", "Sr", "Sr", "Ag", "Ag", "Ag", "Ag"],
  "fractional_positions": [[0.750, 0.502, 0.685], [0.250, 0.998, 0.185], [0.750, 0.002, 0.815], [0.250, 0.498, 0.315], [0.750, 0.334, 0.050], [0.250, 0.166, 0.550], [0.750, 0.834, 0.450], [0.250, 0.666, 0.950], [0.750, 0.706, 0.163], [0.250, 0.794, 0.663], [0.750, 0.206, 0.337], [0.250, 0.294, 0.837]],
  "dft_energy_ev_per_atom": -2.282,
  "total_magnetization_mub_per_fu": 0.0,
  "polymorph_energy_mev_per_atom": 3.8,
  "formation_energy_mev_per_atom": -211
}

***

Entry 4:
{
  "formula": "SrAg3",
  "functional": "GGA-PBE",
  "state": "optimized geometry",
  "lattice": [[5.738, 0.000, 0.000], [0.000, 5.738, 0.000], [0.000, 0.000, 5.738]],
  "species": ["Sr", "Sr", "Ag", "Ag", "Ag", "Ag", "Ag", "Ag"],
  "fractional_positions": [[0.000, 0.000, 0.000], [0.500, 0.500, 0.500], [0.750, 0.500, 0.000], [0.250, 0.500, 0.000], [0.000, 0.750, 0.500], [0.000, 0.250, 0.500], [0.500, 0.000, 0.250], [0.500, 0.000, 0.750]],
  "dft_energy_ev_per_atom": -2.644,
  "total_magnetization_mub_per_fu": 0.0,
  "formation_energy_mev_per_atom": -85
}